This record from the Alexandria database describes a relaxed SmTmGa4 crystal. The functional is PBE-GGA.

- DOS(E_F): 3.278 states/eV/cell
- Distance to the lowest polymorph of the same formula: 18 meV per atom
- Energy: -4.17 eV/atom
- E_form: -618 meV/atom
- Theoretical density: 8.03 g/cm³

a = 5.8220 Å, b = 5.8220 Å, c = 5.8220 Å
α = 136.95°, β = 105.96°, γ = 89.67°
Last column: nearest neighbours and their distance in Å.
Atoms (fractional coordinates):
Sm: 0.0000 0.0000 0.0000  10 Ga 3.12-3.15
Tm: 0.3796 0.8796 0.5000  10 Ga 3.10-3.14
Ga: 0.4103 0.6039 0.8063  4 Ga 2.59-2.77
Ga: 0.5793 0.2810 0.2982  4 Ga 2.59-2.83
Ga: 0.7976 0.6039 0.1937  4 Ga 2.59-2.77
Ga: 0.9828 0.2810 0.7018  4 Ga 2.59-2.83